Entry from Alexandria via LeMat-Bulk: an optimized crystal structure of LiZrTc2 (PBE-GGA).

Cell: 2.7794 2.7794 8.9502 Å, 90.00 90.00 109.96°
Closest atoms and distances in Å follow each position.
Positions (direct):
1 Zr 0.5000 0.5000 0.2500  4 Tc 2.77, 4 Zr 2.78
2 Tc 0.0000 0.0000 0.5027  2 Li 2.73, 2 Zr 2.77, 4 Tc 2.78
3 Tc 0.0000 0.0000 0.9973  2 Li 2.73, 2 Zr 2.77, 4 Tc 2.78
4 Li 0.5000 0.5000 0.7500  4 Tc 2.73, 4 Li 2.78

Values from the calculation:
Space-group type ... Cmmm (65)
E_form ... 0.21 eV per atom

Entry from Alexandria via LeMat-Bulk: an optimized crystal structure of Y2Sc3Sb2 (PBE-GGA).

Cell: 4.1803 6.1438 8.1574 Å, 109.93 90.00 109.89°
Closest atoms and distances in Å follow each position.
Positions (direct):
1 Sc 0.5000 0.0000 0.0000  4 Sb 2.92
2 Sc 0.3762 0.7524 0.5561  3 Sb 3.00-3.01, 1 Sc 3.30
3 Sc 0.6238 0.2476 0.4439  3 Sb 3.00-3.01, 1 Sc 3.30
4 Y 0.1312 0.2625 0.7832  4 Sb 3.13-3.45, 4 Sc 3.43-3.44
5 Y 0.8688 0.7375 0.2168  4 Sb 3.13-3.45, 4 Sc 3.43-3.44
6 Sb 0.8354 0.6707 0.7937  5 Sc 2.92-3.01, 2 Y 3.13
7 Sb 0.1646 0.3293 0.2063  5 Sc 2.92-3.01, 2 Y 3.13

Values from the calculation:
Space-group type ... C2/m (12)
VASP energy ... -6.401 eV per atom

Entry from Alexandria via LeMat-Bulk: an optimized crystal structure of TlP2OsPb (PBE-GGA).

Cell: 4.5865 4.5865 6.1942 Å, 90.00 90.00 90.00°
Closest atoms and distances in Å follow each position.
Positions (direct):
1 Pb 0.0000 0.0000 0.5000  2 Os 3.10, 4 Tl 3.24
2 P 0.5000 0.0000 0.0000  2 Os 2.29
3 P 0.0000 0.5000 0.0000  2 Os 2.29
4 Os 0.0000 0.0000 0.0000  4 P 2.29
5 Tl 0.5000 0.5000 0.5000  4 Pb 3.24

Values from the calculation:
Space-group type ... P4/mmm (123)
E_form ... 0.39 eV per atom

Entry from Alexandria via LeMat-Bulk: an optimized crystal structure of NaAg2I2Br (PBE-GGA).

Cell: 7.7791 8.1786 8.0588 Å, 120.49 90.00 90.00°
Closest atoms and distances in Å follow each position.
Positions (direct):
1 Na 0.8371 0.1500 0.0000  2 Br 2.85-2.86, 2 I 3.13
2 Na 0.3371 0.8500 0.0000  2 Br 2.85-2.86, 2 I 3.13
3 Ag 0.2997 0.5016 0.3369  1 Br 2.78, 3 I 2.85-2.86
4 Ag 0.2997 0.1647 0.6631  1 Br 2.78, 3 I 2.85-2.86
5 Ag 0.7997 0.8353 0.3369  1 Br 2.78, 3 I 2.85-2.86
6 Ag 0.7997 0.4984 0.6631  1 Br 2.78, 3 I 2.85-2.86
7 I 0.1673 0.8288 0.3402  3 Ag 2.85-2.86, 1 Na 3.13
8 I 0.6673 0.5114 0.3402  3 Ag 2.85-2.86, 1 Na 3.13
9 I 0.6673 0.1712 0.6598  3 Ag 2.85-2.86, 1 Na 3.13
10 I 0.1673 0.4886 0.6598  3 Ag 2.85-2.86, 1 Na 3.13
11 Br 0.2022 0.1753 0.0000  2 Ag 2.78, 2 Na 2.85-2.86
12 Br 0.7022 0.8247 0.0000  2 Ag 2.78, 2 Na 2.85-2.86

Values from the calculation:
Space-group type ... Cmc2_1 (36)
VASP energy ... -2.607 eV per atom

So what do the calculations give for N(E_F)? Going down the list: 4.1 9.0 2.8 0.0 states/eV/f.u..